# PBE-GGA Zn2GaFe, optimized geometry
data_Zn2GaFe
_chemical_formula_sum 'Zn8 Ga4 Fe4'
_symmetry_space_group_name_H-M 'F -4 3 m'
_symmetry_Int_Tables_number 216
_symmetry_space_group_name_Hall 'F -4 2 3'
_cell_length_a 6.032
_cell_length_b 6.032
_cell_length_c 6.032
_cell_angle_alpha 90.00
_cell_angle_beta 90.00
_cell_angle_gamma 90.00
loop_
_atom_site_label
_atom_site_type_symbol
_atom_site_fract_x
_atom_site_fract_y
_atom_site_fract_z
_atom_site_occupancy
Zn1 Zn 0.000 0.000 0.000 1
Zn2 Zn 0.250 0.250 0.250 1
Ga1 Ga 0.000 0.000 0.500 1
Fe1 Fe 0.250 0.250 0.750 1
# * DFT formation energy: 133 meV/atom
# * theoretical density: 7.8 Mg/m³
# * density of states at the Fermi level: 0.948 states/eV/atom
# * E_tot: -54.0 eV per cell